*a*
First-principles (PBE-GGA) data for a geometry-optimized La7Dy2Y structure, as listed in the Alexandria database.

a b c (Å): 12.203 17.125 3.550
angles (deg): 90.00 90.00 90.00
Space group Cmmm (No. 65)
Inequivalent atoms, fractional coordinates:
La1 0.000 0.000 0.000 x2
La2 0.000 0.180 0.500 x4
La3 0.245 0.130 0.000 x8
Dy1 0.000 0.334 0.000 x4
Y1 0.000 0.500 0.500 x2

=====

*b*
First-principles (PBE-GGA) data for a geometry-optimized La7Dy2Y structure, as listed in the Alexandria database.

a b c (Å): 8.847 16.566 5.792
angles (deg): 90.00 90.00 90.00
Space group Cmmm (No. 65)
Inequivalent atoms, fractional coordinates:
La1 0.000 0.000 0.000 x2
La2 0.000 0.268 0.500 x4
La3 0.181 0.387 0.000 x8
Dy1 0.000 0.206 0.000 x4
Y1 0.000 0.500 0.500 x2

=====

Which is most stable, and by how much? *a*, by 0.265 eV/atom.